Entry 1:
6
Lattice="0.0000 4.0582 4.0582 4.0582 0.0000 4.0582 4.0582 4.0582 0.0000" Properties=species:S:1:pos:R:3 comment="TlAg4Te, relaxed, DFT PBE-GGA" e_form_raw_ev_per_atom=0.06 pbc="T T T"
Tl 0.0000 0.0000 0.0000
Ag 5.0752 3.0413 3.0413
Ag 3.0413 5.0752 3.0413
Ag 3.0413 3.0413 5.0752
Ag 5.0752 5.0752 5.0752
Te 2.0291 2.0291 2.0291

=====

Entry 2:
20
Lattice="5.1961 -4.6921 0.0000 5.1961 4.6921 0.0000 -3.9063 0.0000 6.5111" Properties=species:S:1:pos:R:3 comment="HgSbC2O6, relaxed, DFT PBE-GGA" e_form_raw_ev_per_atom=-1.04 pbc="T T T"
Hg 2.2664 4.5104 4.8833
Hg 4.2195 -4.5104 1.6278
Sb 2.2664 0.5489 4.8833
Sb 4.2195 -0.5489 1.6278
C 2.1478 1.1072 1.3365
C 0.1947 -1.1072 4.5920
C 6.2912 1.1072 1.9191
C 4.3380 -1.1072 5.1746
O 0.1699 2.8893 5.1732
O 2.5923 0.3660 0.3343
O 0.6392 -0.3660 3.5898
O 2.9664 0.9863 2.4063
O 4.3629 2.8893 4.5934
O 5.4726 0.9863 0.8493
O 1.0133 -0.9863 5.6618
O 2.1230 -2.8893 1.9177
O 3.5194 -0.9863 4.1048
O 5.8467 0.3660 2.9213
O 3.8936 -0.3660 6.1768
O 6.3160 -2.8893 1.3379

=====

Entry 3:
5
Lattice="6.7002 0.0000 0.0000 0.0000 6.7002 0.0000 0.0000 0.0000 6.2595" Properties=species:S:1:pos:R:3 comment="RbCd2OsSe, relaxed, DFT PBE-GGA" e_form_raw_ev_per_atom=1.87 pbc="T T T"
Rb 0.0000 0.0000 0.0000
Cd 0.0000 3.3501 0.0000
Cd 3.3501 0.0000 0.0000
Os 3.3501 3.3501 3.1298
Se 0.0000 0.0000 3.1298

=====

Entry 4:
4
Lattice="0.0000 3.9274 3.9274 3.9274 0.0000 3.9274 3.9274 3.9274 0.0000" Properties=species:S:1:pos:R:3 comment="PrSmYIn, relaxed, DFT PBE-GGA" relative_energy_mev_per_atom=25 ef_kj_per_mol_atoms=-11 pbc="T T T"
Pr 0.0000 0.0000 0.0000
Sm 5.8911 5.8911 5.8911
Y 1.9637 1.9637 1.9637
In 3.9274 3.9274 3.9274

=====

Entry 5:
4
Lattice="1.4989 0.8654 9.5454 -1.4989 0.8654 9.5454 0.0000 -1.7308 9.5454" Properties=species:S:1:pos:R:3 comment="NbAlGa2, relaxed, DFT PBE-GGA" ef_kj_per_mol_atoms=1 pbc="T T T"
Nb 0.0000 0.0000 0.0000
Al 0.0000 0.0000 14.3182
Ga 0.0000 0.0000 11.7564
Ga 0.0000 0.0000 16.8800

=====

Entry 6:
4
Lattice="0.0000 3.6167 3.6167 3.6167 0.0000 3.6167 3.6167 3.6167 0.0000" Properties=species:S:1:pos:R:3 comment="YInGaHg, relaxed, DFT PBE-GGA" relative_energy_mev_per_atom=145 ef_kj_per_mol_atoms=-26 pbc="T T T"
Y 0.0000 0.0000 0.0000
In 3.6167 3.6167 3.6167
Ga 1.8084 1.8084 1.8084
Hg 5.4251 5.4251 5.4251

=====

Entry 7:
8
Lattice="4.7971 0.0000 0.0000 0.0000 4.7982 0.0000 0.0000 0.0000 8.8399" Properties=species:S:1:pos:R:3 comment="Tb3Dy2Al3, relaxed, DFT PBE-GGA" relative_energy_mev_per_atom=21 ef_kj_per_mol_atoms=-27 pbc="T T T"
Tb 0.0000 0.0000 0.0000
Tb 0.0000 2.3991 2.4099
Tb 0.0000 2.3991 6.4300
Dy 2.3985 0.0000 2.4271
Dy 2.3985 0.0000 6.4127
Al 0.0000 0.0000 4.4199
Al 2.3985 2.3991 0.0000
Al 2.3985 2.3991 4.4199

=====

Entry 8:
4
Lattice="0.0000 3.3188 3.3188 3.3188 0.0000 3.3188 3.3188 3.3188 0.0000" Properties=species:S:1:pos:R:3 comment="MoSeCl2, relaxed, DFT PBE-GGA" relative_energy_mev_per_atom=902 e_form_raw_ev_per_atom=0.34 pbc="T T T"
Mo 0.0000 0.0000 0.0000
Se 4.9782 4.9782 4.9782
Cl 1.6594 1.6594 1.6594
Cl 3.3188 3.3188 3.3188

=====

Entry 9:
8
Lattice="8.0120 -1.5206 0.0000 8.0120 1.5206 0.0000 -0.0160 0.0000 9.5956" Properties=species:S:1:pos:R:3 comment="NaBr2N, relaxed, DFT PBE-GGA" relative_energy_mev_per_atom=317 e_form_raw_ev_per_atom=0.68 pbc="T T T"
Na 1.8964 0.0000 0.1879
Na 14.1115 0.0000 9.4076
Br 4.1272 0.0000 7.7433
Br 7.7687 0.0000 1.8755
Br 8.2393 0.0000 7.7201
Br 11.8807 0.0000 1.8523
N 1.9683 0.0000 4.6963
N 14.0396 0.0000 4.8993

=====

Entry 10:
14
Lattice="7.3035 -4.4537 0.0000 7.3035 4.4537 0.0000 -5.8899 0.0000 7.3456" Properties=species:S:1:pos:R:3 comment="Nd8Er5Pu, relaxed, DFT PBE-GGA" ef_kj_per_mol_atoms=21 pbc="T T T"
Nd -1.6467 0.0000 2.6532
Nd 1.0338 1.5457 4.1933
Nd 2.9692 -0.7825 2.1084
Nd -1.1738 -1.4198 6.0708
Nd 7.6832 1.5457 3.1523
Nd 5.7479 -0.7825 5.2373
Nd 9.8909 -1.4198 1.2749
Nd 10.3638 0.0000 4.6925
Er 5.5997 1.6213 0.3460
Er 3.1174 1.6213 6.9996
Er 2.1851 -1.2237 5.6966
Er 6.5320 -1.2237 1.6491
Er 7.3035 -4.1332 0.0000
Pu 4.3585 1.5890 3.6728

=====

Entry 11:
4
Lattice="5.5419 0.0000 0.0000 0.0000 5.5419 0.0000 0.0000 0.0000 5.0882" Properties=species:S:1:pos:R:3 comment="KSr2Sb, relaxed, DFT PBE-GGA" e_form_raw_ev_per_atom=-0.42 pbc="T T T"
K 0.0000 0.0000 0.0000
Sr 0.0000 2.7709 2.5441
Sr 2.7709 0.0000 2.5441
Sb 2.7709 2.7709 0.0000

=====

Entry 12:
8
Lattice="5.7090 0.0000 0.0000 0.0000 4.3935 0.0000 -2.7447 0.0000 7.1943" Properties=species:S:1:pos:R:3 comment="Y2ZnIr, relaxed, DFT PBE-GGA" ef_kj_per_mol_atoms=-62 pbc="T T T"
Y -0.0029 1.0984 3.1484
Y -1.2166 1.0984 6.6265
Y 4.1809 3.2951 0.5678
Y 2.9671 3.2951 4.0459
Zn 1.3745 3.2951 1.5386
Zn 1.5898 1.0984 5.6557
Ir 0.0686 3.2951 5.1496
Ir 2.8957 1.0984 2.0447

=====

Number 1: total magnetization 0.00 Bohr magnetons per cell, energy -16.53 eV per cell. Number 2: total magnetization 0.00 Bohr magnetons per cell, energy -125.98 eV per cell. Number 3: total magnetization 5.00 Bohr magnetons per cell, energy -8.16 eV per cell. Number 4: total magnetization 1.49 Bohr magnetons per cell, energy -19.16 eV per cell. Number 5: total magnetization 0.00 Bohr magnetons per cell, energy -19.81 eV per cell. Number 6: total magnetization 0.00 Bohr magnetons per cell, energy -13.60 eV per cell. Number 7: total magnetization 0.00 Bohr magnetons per cell, energy -36.52 eV per cell. Number 8: total magnetization 1.99 Bohr magnetons per cell, energy -16.66 eV per cell. Number 9: total magnetization 6.26 Bohr magnetons per cell, energy -20.52 eV per cell. Number 10: total magnetization 6.19 Bohr magnetons per cell, energy -72.27 eV per cell. Number 11: total magnetization 0.00 Bohr magnetons per cell, energy -10.25 eV per cell. Number 12: total magnetization 0.00 Bohr magnetons per cell, energy -51.31 eV per cell.